1.
A plane-wave DFT calculation with GGA-PBE was carried out for CuHgBi2Ir after structural relaxation.

Results
* uncorrected energy: -13.98 eV per cell
* space-group type: P4/mmm, No. 123

a = 5.4921 Å, b = 5.4921 Å, c = 4.6588 Å
α = 90.00°, β = 90.00°, γ = 90.00°
Last column: nearest neighbours and their distance in Å.
Fractional positions:
Cu: 0.0000 0.0000 0.0000  2 Hg 2.33
Hg: 0.0000 0.0000 0.5000  2 Cu 2.33
Bi: 0.0000 0.5000 0.5000  2 Hg 2.75
Bi: 0.5000 0.0000 0.5000  2 Hg 2.75
Ir: 0.5000 0.5000 0.0000  8 Bi 3.60, 4 Cu 3.88

=====

2.
A plane-wave DFT calculation with GGA-PBE was carried out for Sc2SiOs after structural relaxation.

Results
* uncorrected energy: -62.46 eV per cell
* space-group type: Imm2, No. 44

a = 3.1515 Å, b = 4.5645 Å, c = 9.8983 Å
α = 90.00°, β = 90.00°, γ = 90.00°
Last column: nearest neighbours and their distance in Å.
Fractional positions:
Sc: 0.0000 0.0000 0.0000  4 Os 2.78, 2 Si 3.09, 2 Sc 3.11
Sc: 0.0000 0.5000 0.2137  2 Os 2.80, 4 Si 2.87, 2 Sc 3.11
Sc: 0.5000 0.0000 0.7137  2 Os 2.80, 4 Si 2.87, 2 Sc 3.11
Sc: 0.5000 0.5000 0.5000  4 Os 2.78, 2 Si 3.09, 2 Sc 3.11
Si: 0.0000 0.5000 0.7894  2 Os 2.45
Si: 0.5000 0.0000 0.2894  2 Os 2.45
Os: 0.0000 0.0000 0.4795  2 Si 2.45
Os: 0.5000 0.5000 0.9795  2 Si 2.45

=====

3.
A plane-wave DFT calculation with GGA-PBE was carried out for Mn2W3C after structural relaxation.

Results
* uncorrected energy: -264.18 eV per cell
* space-group type: P4_132, No. 213

a = 6.7551 Å, b = 6.7551 Å, c = 6.7551 Å
α = 90.00°, β = 90.00°, γ = 90.00°
Last column: nearest neighbours and their distance in Å.
Fractional positions:
Mn: 0.0724 0.0724 0.0724  3 Mn 2.49, 3 W 2.74
Mn: 0.1776 0.8224 0.3224  3 Mn 2.49, 3 W 2.74
Mn: 0.3224 0.1776 0.8224  3 Mn 2.49, 3 W 2.74
Mn: 0.4276 0.9276 0.5724  3 Mn 2.49, 3 W 2.74
Mn: 0.5724 0.4276 0.9276  3 Mn 2.49, 3 W 2.74
Mn: 0.6776 0.6776 0.6776  3 Mn 2.49, 3 W 2.74
Mn: 0.8224 0.3224 0.1776  3 Mn 2.49, 3 W 2.74
Mn: 0.9276 0.5724 0.4276  3 Mn 2.49, 3 W 2.74
W: 0.0472 0.8750 0.7028  2 C 2.12
W: 0.1250 0.2028 0.4528  2 C 2.12
W: 0.2028 0.4528 0.1250  2 C 2.12
W: 0.2972 0.5472 0.6250  2 C 2.12
W: 0.3750 0.7972 0.9528  2 C 2.12
W: 0.4528 0.1250 0.2028  2 C 2.12
W: 0.5472 0.6250 0.2972  2 C 2.12
W: 0.6250 0.2972 0.5472  2 C 2.12
W: 0.7028 0.0472 0.8750  2 C 2.12
W: 0.7972 0.9528 0.3750  2 C 2.12
W: 0.8750 0.7028 0.0472  2 C 2.12
W: 0.9528 0.3750 0.7972  2 C 2.12
C: 0.1250 0.6250 0.8750  6 W 2.12
C: 0.3750 0.3750 0.3750  6 W 2.12
C: 0.6250 0.8750 0.1250  6 W 2.12
C: 0.8750 0.1250 0.6250  6 W 2.12

=====

4.
A plane-wave DFT calculation with GGA-PBE was carried out for YBe2P after structural relaxation.

Results
* uncorrected energy: -38.27 eV per cell
* space-group type: Immm, No. 71

a = 3.3769 Å, b = 4.2016 Å, c = 9.1239 Å
α = 90.00°, β = 90.00°, γ = 90.00°
Last column: nearest neighbours and their distance in Å.
Fractional positions:
Y: 0.0000 0.0000 0.0000  4 P 2.70, 4 Be 2.89
Y: 0.5000 0.5000 0.5000  4 P 2.70, 4 Be 2.89
Be: 0.0000 0.5000 0.2171  2 P 2.60, 4 Be 2.76, 2 Y 2.89
Be: 0.0000 0.5000 0.7829  2 P 2.60, 4 Be 2.76, 2 Y 2.89
Be: 0.5000 0.0000 0.2829  2 P 2.60, 4 Be 2.76, 2 Y 2.89
Be: 0.5000 0.0000 0.7171  2 P 2.60, 4 Be 2.76, 2 Y 2.89
P: 0.0000 0.0000 0.5000  4 Be 2.60, 4 Y 2.70
P: 0.5000 0.5000 0.0000  4 Be 2.60, 4 Y 2.70

=====

5.
A plane-wave DFT calculation with GGA-PBE was carried out for YTmAs2 after structural relaxation.

Results
* E above lowest polymorph: 0.0 meV per atom
* uncorrected energy: -105.44 eV per cell
* space-group type: I4_1/amd, No. 141

a = 5.7869 Å, b = 5.7869 Å, c = 11.5807 Å
α = 90.00°, β = 90.00°, γ = 90.00°
Last column: nearest neighbours and their distance in Å.
Fractional positions:
Y: 0.0000 0.2500 0.3750  6 As 2.89-2.92
Y: 0.0000 0.7500 0.6250  6 As 2.89-2.92
Y: 0.5000 0.2500 0.1250  6 As 2.89-2.92
Y: 0.5000 0.7500 0.8750  6 As 2.89-2.92
Tm: 0.0000 0.2500 0.8750  6 As 2.87-2.89
Tm: 0.0000 0.7500 0.1250  6 As 2.87-2.89
Tm: 0.5000 0.2500 0.6250  6 As 2.87-2.89
Tm: 0.5000 0.7500 0.3750  6 As 2.87-2.89
As: 0.0000 0.2500 0.1232  3 Tm 2.87-2.89, 3 Y 2.89-2.92
As: 0.0000 0.2500 0.6268  3 Tm 2.87-2.89, 3 Y 2.89-2.92
As: 0.0000 0.7500 0.3732  3 Tm 2.87-2.89, 3 Y 2.89-2.92
As: 0.0000 0.7500 0.8768  3 Tm 2.87-2.89, 3 Y 2.89-2.92
As: 0.5000 0.2500 0.3768  3 Tm 2.87-2.89, 3 Y 2.89-2.92
As: 0.5000 0.2500 0.8732  3 Tm 2.87-2.89, 3 Y 2.89-2.92
As: 0.5000 0.7500 0.1268  3 Tm 2.87-2.89, 3 Y 2.89-2.92
As: 0.5000 0.7500 0.6232  3 Tm 2.87-2.89, 3 Y 2.89-2.92

=====

6.
A plane-wave DFT calculation with GGA-PBE was carried out for CaTb2Cd4 after structural relaxation.

Results
* uncorrected energy: -31.80 eV per cell
* space-group type: I4/mmm, No. 139

a = 5.1562 Å, b = 5.1562 Å, c = 15.3505 Å
α = 90.00°, β = 90.00°, γ = 90.00°
Last column: nearest neighbours and their distance in Å.
Fractional positions:
Ca: 0.0000 0.0000 0.0000  8 Cd 3.19
Ca: 0.5000 0.5000 0.5000  8 Cd 3.19
Tb: 0.0000 0.0000 0.2521  8 Cd 3.22-3.26
Tb: 0.0000 0.0000 0.7479  8 Cd 3.22-3.26
Tb: 0.5000 0.5000 0.2479  8 Cd 3.22-3.26
Tb: 0.5000 0.5000 0.7521  8 Cd 3.22-3.26
Cd: 0.0000 0.5000 0.1223  2 Ca 3.19, 4 Tb 3.22-3.26
Cd: 0.0000 0.5000 0.3777  2 Ca 3.19, 4 Tb 3.22-3.26
Cd: 0.0000 0.5000 0.6223  2 Ca 3.19, 4 Tb 3.22-3.26
Cd: 0.0000 0.5000 0.8777  2 Ca 3.19, 4 Tb 3.22-3.26
Cd: 0.5000 0.0000 0.1223  2 Ca 3.19, 4 Tb 3.22-3.26
Cd: 0.5000 0.0000 0.3777  2 Ca 3.19, 4 Tb 3.22-3.26
Cd: 0.5000 0.0000 0.6223  2 Ca 3.19, 4 Tb 3.22-3.26
Cd: 0.5000 0.0000 0.8777  2 Ca 3.19, 4 Tb 3.22-3.26

=====

7.
A plane-wave DFT calculation with GGA-PBE was carried out for TaAlS4 after structural relaxation.

Results
* E above lowest polymorph: 70.1 meV per atom
* uncorrected energy: -74.53 eV per cell
* space-group type: I-4, No. 82

a = 5.7637 Å, b = 5.7637 Å, c = 9.9479 Å
α = 90.00°, β = 90.00°, γ = 90.00°
Last column: nearest neighbours and their distance in Å.
Fractional positions:
Ta: 0.0000 0.0000 0.0000  4 S 2.29
Ta: 0.5000 0.5000 0.5000  4 S 2.29
Al: 0.0000 0.5000 0.7500  4 S 2.28
Al: 0.5000 0.0000 0.2500  4 S 2.28
S: 0.2193 0.7483 0.8745  1 Al 2.28, 1 Ta 2.29
S: 0.2483 0.2807 0.6255  1 Al 2.28, 1 Ta 2.29
S: 0.2517 0.2193 0.1255  1 Al 2.28, 1 Ta 2.29
S: 0.2807 0.7517 0.3745  1 Al 2.28, 1 Ta 2.29
S: 0.7193 0.2483 0.3745  1 Al 2.28, 1 Ta 2.29
S: 0.7483 0.7807 0.1255  1 Al 2.28, 1 Ta 2.29
S: 0.7517 0.7193 0.6255  1 Al 2.28, 1 Ta 2.29
S: 0.7807 0.2517 0.8745  1 Al 2.28, 1 Ta 2.29

=====

8.
A plane-wave DFT calculation with GGA-PBE was carried out for Ta2AgMo after structural relaxation.

Results
* E above lowest polymorph: 168.6 meV per atom
* uncorrected energy: -72.68 eV per cell
* space-group type: Immm, No. 71

a = 3.5625 Å, b = 4.5700 Å, c = 8.5696 Å
α = 90.00°, β = 90.00°, γ = 90.00°
Last column: nearest neighbours and their distance in Å.
Fractional positions:
Ta: 0.0000 0.0000 0.2367  2 Mo 2.70, 2 Ag 2.87, 4 Ta 2.91
Ta: 0.0000 0.0000 0.7633  2 Mo 2.70, 2 Ag 2.87, 4 Ta 2.91
Ta: 0.5000 0.5000 0.2633  2 Mo 2.70, 2 Ag 2.87, 4 Ta 2.91
Ta: 0.5000 0.5000 0.7367  2 Mo 2.70, 2 Ag 2.87, 4 Ta 2.91
Ag: 0.0000 0.5000 0.0000  8 Ta 2.87-3.06, 4 Mo 2.90
Ag: 0.5000 0.0000 0.5000  8 Ta 2.87-3.06, 4 Mo 2.90
Mo: 0.0000 0.5000 0.5000  4 Ta 2.70, 4 Ag 2.90
Mo: 0.5000 0.0000 0.0000  4 Ta 2.70, 4 Ag 2.90

=====

9.
A plane-wave DFT calculation with GGA-PBE was carried out for Tb5Ho2Pd4 after structural relaxation.

Results
* uncorrected energy: -57.64 eV per cell
* space-group type: C2/m, No. 12

a = 12.4256 Å, b = 12.4256 Å, c = 6.8024 Å
α = 91.39°, β = 91.39°, γ = 16.65°
Last column: nearest neighbours and their distance in Å.
Fractional positions:
Tb: 0.0000 0.0000 0.0000  4 Pd 2.85
Tb: 0.2653 0.2653 0.2485  3 Pd 2.91-2.95
Tb: 0.3659 0.3659 0.8247  3 Pd 2.85-2.94
Tb: 0.6341 0.6341 0.1753  3 Pd 2.85-2.94
Tb: 0.7347 0.7347 0.7515  3 Pd 2.91-2.95
Ho: 0.4093 0.4093 0.3371  4 Pd 2.83-2.91
Ho: 0.5907 0.5907 0.6629  4 Pd 2.83-2.91
Pd: 0.1698 0.1698 0.4940  2 Ho 2.91, 5 Tb 2.91-2.95
Pd: 0.4744 0.4744 0.6865  2 Ho 2.83-2.87, 3 Tb 2.85, 1 Pd 2.86
Pd: 0.5256 0.5256 0.3135  2 Ho 2.83-2.87, 3 Tb 2.85, 1 Pd 2.86
Pd: 0.8302 0.8302 0.5060  2 Ho 2.91, 5 Tb 2.91-2.95

=====

10.
A plane-wave DFT calculation with GGA-PBE was carried out for RbSiB after structural relaxation.

Results
* uncorrected energy: -24.66 eV per cell
* space-group type: P1, No. 1

a = 3.6137 Å, b = 6.7875 Å, c = 6.8207 Å
α = 110.21°, β = 100.44°, γ = 100.99°
Last column: nearest neighbours and their distance in Å.
Fractional positions:
Rb: 0.0000 0.0000 0.0000  2 B 3.19-3.22, 2 Si 3.56
Rb: 0.4870 0.6251 0.3824  5 Si 3.56-3.93, 4 Rb 3.61-3.97, 4 B 3.71-3.89
Si: 0.2172 0.4874 0.8103  3 B 2.07-2.22
Si: 0.7744 0.1964 0.5074  3 B 2.07-2.21
B: 0.3008 0.1600 0.6501  1 B 1.61
B: 0.6808 0.3375 0.8333  1 B 1.61

=====

11.
A plane-wave DFT calculation with GGA-PBE was carried out for HfTl3Bi after structural relaxation.

Results
* E above lowest polymorph: 581.4 meV per atom
* uncorrected energy: -14.95 eV per cell
* space-group type: Pm-3m, No. 221

a = 5.8417 Å, b = 5.8417 Å, c = 5.8417 Å
α = 90.00°, β = 90.00°, γ = 90.00°
Last column: nearest neighbours and their distance in Å.
Fractional positions:
Hf: 0.0000 0.0000 0.0000  12 Tl 4.13
Tl: 0.0000 0.5000 0.5000  2 Bi 2.92
Tl: 0.5000 0.0000 0.5000  2 Bi 2.92
Tl: 0.5000 0.5000 0.0000  2 Bi 2.92
Bi: 0.5000 0.5000 0.5000  6 Tl 2.92

=====

12.
A plane-wave DFT calculation with GGA-PBE was carried out for AcSmDy14 after structural relaxation.

Results
* uncorrected energy: -72.89 eV per cell
* space-group type: Amm2, No. 38

a = 11.3873 Å, b = 7.2876 Å, c = 7.2876 Å
α = 60.08°, β = 90.00°, γ = 90.00°
Last column: nearest neighbours and their distance in Å.
Fractional positions:
Ac: 0.0000 0.0000 0.0000  10 Dy 3.60-3.66, 2 Sm 3.65
Sm: 0.0000 0.4997 0.4997  10 Dy 3.56-3.67, 2 Ac 3.65
Dy: 0.0000 0.0030 0.5003  8 Dy 3.55-3.67, 2 Sm 3.62-3.67, 2 Ac 3.63-3.66
Dy: 0.0000 0.5003 0.0030  8 Dy 3.55-3.67, 2 Sm 3.62-3.67, 2 Ac 3.63-3.66
Dy: 0.2508 0.6682 0.6682  11 Dy 3.53-3.65, 1 Sm 3.56
Dy: 0.2546 0.1692 0.1692  11 Dy 3.49-3.67, 1 Ac 3.60
Dy: 0.2557 0.1688 0.6654  10 Dy 3.48-3.67, 1 Sm 3.58, 1 Ac 3.60
Dy: 0.2557 0.6654 0.1688  10 Dy 3.48-3.67, 1 Sm 3.58, 1 Ac 3.60
Dy: 0.5000 0.0012 0.0012  12 Dy 3.50-3.65
Dy: 0.5000 0.0008 0.5010  12 Dy 3.48-3.65
Dy: 0.5000 0.5010 0.0008  12 Dy 3.48-3.65
Dy: 0.5000 0.5012 0.5012  12 Dy 3.48-3.65
Dy: 0.7443 0.1688 0.6654  10 Dy 3.48-3.67, 1 Sm 3.58, 1 Ac 3.60
Dy: 0.7443 0.6654 0.1688  10 Dy 3.48-3.67, 1 Sm 3.58, 1 Ac 3.60
Dy: 0.7454 0.1692 0.1692  11 Dy 3.49-3.67, 1 Ac 3.60
Dy: 0.7492 0.6682 0.6682  11 Dy 3.53-3.65, 1 Sm 3.56